Entry 1:
A relaxed structure of Ti4Zn5Pd. Source: Alexandria, functional PBE.

Cell lengths 3.144, 3.144, 15.534 Å; angles 90.00, 90.00, 90.00 degrees
Fractional positions:
1 Ti 0.000 0.000 0.101
2 Ti 0.000 0.000 0.304
3 Ti 0.000 0.000 0.696
4 Ti 0.000 0.000 0.899
5 Zn 0.500 0.500 0.000
6 Zn 0.500 0.500 0.201
7 Zn 0.500 0.500 0.408
8 Zn 0.500 0.500 0.592
9 Zn 0.500 0.500 0.799
10 Pd 0.000 0.000 0.500

Calculated values
- Final energy: -4.555 eV per atom
- ΔH_f (0 K): -23 kJ/mol of atoms
- Space group: No. 123



Entry 2:
A relaxed structure of Pr7Sm12Th. Source: Alexandria, functional PBE.

Cell lengths 8.883, 8.883, 8.883 Å; angles 90.76, 90.76, 90.76 degrees
Fractional positions:
1 Pr 0.000 0.000 0.000
2 Pr 0.119 0.370 0.431
3 Pr 0.370 0.431 0.119
4 Pr 0.431 0.119 0.370
5 Pr 0.569 0.881 0.630
6 Pr 0.630 0.569 0.881
7 Pr 0.881 0.630 0.569
8 Sm 0.027 0.343 0.923
9 Sm 0.077 0.973 0.657
10 Sm 0.222 0.755 0.366
11 Sm 0.245 0.634 0.778
12 Sm 0.343 0.923 0.027
13 Sm 0.366 0.222 0.755
14 Sm 0.634 0.778 0.245
15 Sm 0.657 0.077 0.973
16 Sm 0.755 0.366 0.222
17 Sm 0.778 0.245 0.634
18 Sm 0.923 0.027 0.343
19 Sm 0.973 0.657 0.077
20 Th 0.500 0.500 0.500

Calculated values
- Final energy: -4.647 eV per atom
- ΔH_f (0 K): 22 kJ/mol of atoms
- Space group: No. 148



Entry 3:
A relaxed structure of CsOs4. Source: Alexandria, functional PBE.

Cell lengths 4.815, 4.815, 4.815 Å; angles 90.00, 90.00, 90.00 degrees
Fractional positions:
1 Cs 0.000 0.000 0.000
2 Os 0.000 0.000 0.500
3 Os 0.000 0.500 0.000
4 Os 0.500 0.000 0.000
5 Os 0.500 0.500 0.500

Calculated values
- Final energy: -4.585 eV per atom
- ΔH_f (0 K): 441 kJ/mol of atoms
- Space group: No. 221



Entry 4:
A relaxed structure of CoTe2IBr. Source: Alexandria, functional PBE.

Cell lengths 5.059, 5.059, 5.330 Å; angles 90.00, 90.00, 90.00 degrees
Fractional positions:
1 Co 0.000 0.000 0.000
2 Te 0.000 0.500 0.000
3 Te 0.500 0.000 0.000
4 I 0.000 0.000 0.500
5 Br 0.500 0.500 0.500

Calculated values
- Final energy: -2.996 eV per atom
- Excess energy over the best structure of this formula in the dataset: 0 meV/atom
- Uncorrected formation energy: 0.3266 eV/atom
- Space group: No. 123



Entry 5:
A relaxed structure of PmBiAs. Source: Alexandria, functional PBE.

Cell lengths 4.909, 4.909, 4.267 Å; angles 90.00, 90.00, 120.00 degrees
Fractional positions:
1 Pm 0.000 0.000 0.000
2 Bi 0.667 0.333 0.500
3 As 0.333 0.667 0.000

Calculated values
- Final energy: -4.853 eV per atom
- Excess energy over the best structure of this formula in the dataset: 275 meV/atom
- ΔH_f (0 K): -41 kJ/mol of atoms
- Space group: No. 187



Entry 6:
A relaxed structure of SbTe2OsN. Source: Alexandria, functional PBE.

Cell lengths 5.180, 5.180, 5.109 Å; angles 90.00, 90.00, 90.00 degrees
Fractional positions:
1 Sb 0.000 0.000 0.000
2 Te 0.000 0.500 0.500
3 Te 0.500 0.000 0.500
4 Os 0.000 0.000 0.500
5 N 0.500 0.500 0.000

Calculated values
- Final energy: -4.202 eV per atom
- Excess energy over the best structure of this formula in the dataset: 1460 meV/atom
- Uncorrected formation energy: 1.7900 eV/atom
- Space group: No. 123



Entry 7:
A relaxed structure of PSeICl2. Source: Alexandria, functional PBE.

Cell lengths 5.378, 5.378, 5.550 Å; angles 90.00, 90.00, 90.00 degrees
Fractional positions:
1 P 0.000 0.000 0.000
2 Se 0.500 0.500 0.000
3 I 0.000 0.000 0.500
4 Cl 0.000 0.500 0.500
5 Cl 0.500 0.000 0.500

Calculated values
- Final energy: -1.947 eV per atom
- Excess energy over the best structure of this formula in the dataset: 484 meV/atom
- Uncorrected formation energy: 0.8809 eV/atom
- Space group: No. 123



Entry 8:
A relaxed structure of RbMnI3. Source: Alexandria, functional PBE.

Cell lengths 5.472, 5.472, 9.123 Å; angles 90.00, 90.00, 90.00 degrees
Fractional positions:
1 Rb 0.000 0.000 0.000
2 Mn 0.500 0.500 0.367
3 I 0.000 0.000 0.630
4 I 0.000 0.500 0.276
5 I 0.500 0.000 0.276

Calculated values
- Final energy: -3.398 eV per atom
- Uncorrected formation energy: -0.4405 eV/atom
- Space group: No. 99